Record 1
A geometry-optimized NpGaFe2H8 structure, computed with PBE.

Cell: 4.543 4.543 6.008 Å, 90.00 90.00 120.00°
Site moments in Bohr magnetons follow the coordinates.
Positions (direct):
1 H 0.172 0.345 0.804  0.00
2 H 0.345 0.172 0.196  0.00
3 H 0.828 0.172 0.196  0.00
4 H 0.172 0.828 0.804  0.00
5 H 0.333 0.667 0.352  0.00
6 H 0.655 0.828 0.804  0.00
7 H 0.667 0.333 0.648  0.00
8 H 0.828 0.655 0.196  0.00
9 Ga 0.000 0.000 0.000  0.12
10 Fe 0.333 0.667 0.612  1.69
11 Fe 0.667 0.333 0.388  1.69
12 Np 0.000 0.000 0.500  -3.18

SG = No. 164
total magnetization = 0.39 Bohr magnetons per cell
D(E_F) = 5.10 states/eV/cell
energy = -4.82 eV per atom

Record 2
A geometry-optimized GaFe2HOs structure, computed with PBE.

Cell: 3.753 3.753 3.889 Å, 90.00 90.00 90.00°
Site moments in Bohr magnetons follow the coordinates.
Positions (direct):
1 Ga 0.500 0.500 0.500  -0.07
2 Fe 0.500 0.000 0.000  2.48
3 Fe 0.000 0.500 0.000  2.48
4 H 0.000 0.000 0.000  -0.01
5 Os 0.000 0.000 0.500  0.42

SG = No. 123
total magnetization = 5.35 Bohr magnetons per cell
D(E_F) = 4.05 states/eV/cell
energy = -6.85 eV per atom

Record 3
A geometry-optimized GaFe2HPd structure, computed with PBE.

Cell: 3.664 3.664 4.102 Å, 90.00 90.00 90.00°
Site moments in Bohr magnetons follow the coordinates.
Positions (direct):
1 Ga 0.500 0.500 0.500  -0.10
2 Fe 0.500 0.000 0.000  2.30
3 Fe 0.000 0.500 0.000  2.30
4 H 0.000 0.000 0.000  -0.02
5 Pd 0.000 0.000 0.500  -0.01

SG = No. 123
relative energy among the computed polymorphs = 0 meV/atom
total magnetization = 4.40 Bohr magnetons per cell
D(E_F) = 1.77 states/eV/cell

Record 4
A geometry-optimized GaFe2HPd structure, computed with PBE.

Cell: 3.616 3.616 4.279 Å, 90.00 90.00 90.00°
Site moments in Bohr magnetons follow the coordinates.
Positions (direct):
1 H 0.000 0.000 0.000  -0.02
2 Ga 0.000 0.000 0.500  -0.08
3 Fe 0.500 0.000 0.000  2.46
4 Fe 0.000 0.500 0.000  2.46
5 Pd 0.500 0.500 0.500  0.07

SG = No. 123
relative energy among the computed polymorphs = 90 meV/atom
total magnetization = 4.85 Bohr magnetons per cell
D(E_F) = 3.51 states/eV/cell

Record 5
A geometry-optimized GaFeHPd2 structure, computed with PBE.

Cell: 3.926 3.926 3.876 Å, 90.00 90.00 90.00°
Site moments in Bohr magnetons follow the coordinates.
Positions (direct):
1 Ga 0.500 0.500 0.500  -0.09
2 Pd 0.500 0.000 0.000  0.01
3 Pd 0.000 0.500 0.000  0.01
4 Fe 0.000 0.000 0.500  2.37
5 H 0.000 0.000 0.000  -0.01

SG = No. 123
total magnetization = 2.22 Bohr magnetons per cell
D(E_F) = 4.68 states/eV/cell
energy = -5.24 eV per atom

Record 6
A geometry-optimized GaFe2HPt structure, computed with PBE.

Cell: 3.644 3.644 4.221 Å, 90.00 90.00 90.00°
Site moments in Bohr magnetons follow the coordinates.
Positions (direct):
1 Fe 0.000 0.500 0.000  2.40
2 Fe 0.500 0.000 0.000  2.40
3 Pt 0.500 0.500 0.500  0.05
4 Ga 0.000 0.000 0.500  -0.08
5 H 0.000 0.000 0.000  -0.02

SG = No. 123
relative energy among the computed polymorphs = 40 meV/atom
total magnetization = 4.73 Bohr magnetons per cell
D(E_F) = 2.80 states/eV/cell

Record 7
A geometry-optimized Ga2FeHPt structure, computed with PBE.

Cell: 4.747 4.913 4.747 Å, 90.00 90.00 90.00°
Site moments in Bohr magnetons follow the coordinates.
Positions (direct):
1 H 0.500 0.500 0.500  0.06
2 Pt 0.000 0.000 0.000  0.13
3 Ga 0.500 0.000 0.000  0.01
4 Ga 0.000 0.000 0.500  0.01
5 Fe 0.000 0.500 0.000  3.42

SG = No. 123
relative energy among the computed polymorphs = 713 meV/atom
total magnetization = 3.93 Bohr magnetons per cell
D(E_F) = 2.95 states/eV/cell

Record 8
A geometry-optimized GaFe2HPt structure, computed with PBE.

Cell: 3.697 3.697 4.076 Å, 90.00 90.00 90.00°
Site moments in Bohr magnetons follow the coordinates.
Positions (direct):
1 Ga 0.500 0.500 0.500  -0.10
2 H 0.000 0.000 0.000  -0.02
3 Fe 0.000 0.500 0.000  2.29
4 Fe 0.500 0.000 0.000  2.29
5 Pt 0.000 0.000 0.500  -0.02

SG = No. 123
relative energy among the computed polymorphs = 0 meV/atom
total magnetization = 4.39 Bohr magnetons per cell
D(E_F) = 2.23 states/eV/cell

Record 9
A geometry-optimized GaFeHPt2 structure, computed with PBE.

Cell: 3.932 3.932 3.933 Å, 90.00 90.00 90.00°
Site moments in Bohr magnetons follow the coordinates.
Positions (direct):
1 H 0.000 0.000 0.000  -0.01
2 Fe 0.000 0.000 0.500  2.31
3 Pt 0.500 0.000 0.000  0.04
4 Pt 0.000 0.500 0.000  0.04
5 Ga 0.500 0.500 0.500  -0.09

SG = No. 123
total magnetization = 2.25 Bohr magnetons per cell
D(E_F) = 4.99 states/eV/cell
energy = -5.54 eV per atom

Record 10
A geometry-optimized Ga2FeHPt structure, computed with PBE.

Cell: 4.163 4.163 3.324 Å, 90.00 90.00 90.00°
Positions (direct):
1 Ga 0.000 0.500 0.000
2 Ga 0.500 0.000 0.000
3 Fe 0.000 0.000 0.500
4 H 0.000 0.000 0.000
5 Pt 0.500 0.500 0.500

SG = No. 123
relative energy among the computed polymorphs = 0 meV/atom
total magnetization = 0.00 Bohr magnetons per cell
D(E_F) = 2.44 states/eV/cell

Record 11
A geometry-optimized GaFe2HRh structure, computed with PBE.

Cell: 3.584 3.584 4.262 Å, 90.00 90.00 90.00°
Site moments in Bohr magnetons follow the coordinates.
Positions (direct):
1 Rh 0.500 0.500 0.500  0.25
2 Ga 0.000 0.000 0.500  -0.07
3 Fe 0.000 0.500 0.000  2.46
4 Fe 0.500 0.000 0.000  2.46
5 H 0.000 0.000 0.000  -0.03

SG = No. 123
relative energy among the computed polymorphs = 107 meV/atom
total magnetization = 5.08 Bohr magnetons per cell
D(E_F) = 2.96 states/eV/cell

Record 12
A geometry-optimized GaFeHRh2 structure, computed with PBE.

Cell: 3.990 3.990 3.627 Å, 90.00 90.00 90.00°
Site moments in Bohr magnetons follow the coordinates.
Positions (direct):
1 Ga 0.500 0.500 0.500  -0.04
2 H 0.000 0.000 0.000  -0.01
3 Rh 0.500 0.000 0.000  0.45
4 Rh 0.000 0.500 0.000  0.45
5 Fe 0.000 0.000 0.500  2.90

SG = No. 123
total magnetization = 3.78 Bohr magnetons per cell
D(E_F) = 3.95 states/eV/cell
energy = -6.16 eV per atom